# 1
The following is a GGA-PBE calculation of crystalline TbCeTm2Bi4 at its relaxed geometry, from Alexandria via LeMat-Bulk.

Results
Total moment = 0.8 Bohr magnetons per cell
ΔH_f (0 K) = -0.81 eV per atom
Calculated density = 9.543 g/cm³
Calculated volume = 256 Å³/cell
Uncorrected energy = -41.49 eV/f.u.

Geometry as POSCAR:
```
TbCeTm2Bi4
1.0
7.7674 0.0000 0.0000
0.0000 4.4981 0.0000
-2.5947 0.0000 7.3353
Tb Ce Tm Bi
1 1 2 4
direct
0.0000 0.0000 0.0000 Tb
0.0000 0.5000 0.5000 Ce
0.5000 0.0000 0.5000 Tm
0.5000 0.5000 0.0000 Tm
0.2561 0.5000 0.2498 Bi
0.2582 0.0000 0.7553 Bi
0.7418 0.0000 0.2447 Bi
0.7439 0.5000 0.7502 Bi
```

# 2
The following is a GGA-PBE calculation of crystalline Rb3LaEr2Te6 at its relaxed geometry, from Alexandria via LeMat-Bulk.

Results
Total moment = 0.0 Bohr magnetons per cell
Calculated density = 5.329 g/cm³
Energy relative to the elements, uncorrected = -1.406 eV per atom
Calculated volume = 466 Å³/cell
Uncorrected energy = -52.67 eV/f.u.

Geometry as POSCAR:
```
Rb3LaEr2Te6
1.0
3.9664 -6.8734 0.0000
3.9664 6.8734 0.0000
-2.6473 0.0000 8.5458
Rb La Er Te
3 1 2 6
direct
0.0000 0.0000 0.0000 Rb
0.3368 0.6632 0.0000 Rb
0.6632 0.3368 0.0000 Rb
0.5000 0.5000 0.5000 La
0.1671 0.8329 0.5000 Er
0.8329 0.1671 0.5000 Er
0.0869 0.4331 0.2993 Te
0.2200 0.2200 0.6994 Te
0.4331 0.0869 0.2993 Te
0.5669 0.9131 0.7007 Te
0.7800 0.7800 0.3006 Te
0.9131 0.5669 0.7007 Te
```

# 3
The following is a GGA-PBE calculation of crystalline PaGaFe at its relaxed geometry, from Alexandria via LeMat-Bulk.

Results
Total moment = 0.0 Bohr magnetons per cell
ΔH_f (0 K) = -0.44 eV per atom
Calculated density = 10.716 g/cm³
Calculated volume = 221 Å³/cell
Uncorrected energy = -22.31 eV/f.u.

Geometry as POSCAR:
```
PaGaFe
1.0
5.8234 0.0000 0.0000
0.0000 5.9032 0.0000
-5.6300 0.0000 6.4301
Pa Ga Fe
4 4 4
direct
0.1951 0.1297 0.4035 Pa
0.1951 0.3703 0.9035 Pa
0.8049 0.6297 0.0965 Pa
0.8049 0.8703 0.5965 Pa
0.2889 0.6167 0.6043 Ga
0.2889 0.8833 0.1043 Ga
0.7111 0.1167 0.8957 Ga
0.7111 0.3833 0.3957 Ga
0.3065 0.6276 0.3284 Fe
0.3065 0.8724 0.8284 Fe
0.6935 0.1276 0.1716 Fe
0.6935 0.3724 0.6716 Fe
```

# 4
The following is a GGA-PBE calculation of crystalline Tc3Ru2Pt2 at its relaxed geometry, from Alexandria via LeMat-Bulk.

Results
Total moment = 0.0 Bohr magnetons per cell
ΔH_f (0 K) = -0.07 eV per atom
Calculated density = 14.326 g/cm³
Energy above the most stable polymorph in this dataset = 10 meV/atom
Calculated volume = 103 Å³/cell
Uncorrected energy = -62.19 eV/f.u.

Geometry as POSCAR:
```
Tc3Ru2Pt2
1.0
2.7265 0.0000 0.0000
-1.3538 5.9929 0.0000
-0.0009 -2.5254 6.2874
Tc Ru Pt
3 2 2
direct
0.0000 0.0000 0.0000 Tc
0.2829 0.5678 0.8650 Tc
0.7171 0.4322 0.1350 Tc
0.4235 0.8479 0.2679 Ru
0.5765 0.1521 0.7321 Ru
0.1389 0.2782 0.4263 Pt
0.8611 0.7218 0.5737 Pt
```